No. 1
TaTe2Pt | Alexandria | PBE | relaxed; symmetry = No. 12; total magnetization = 0.000 μB per atom
1.0
4.730 -1.710 0.000
4.730 1.710 0.000
-0.607 0.000 5.458
Ta Te Pt
1 2 1
direct
0.000 0.000 0.000
0.291 0.291 0.770
0.709 0.709 0.230
0.500 0.500 0.500

***

No. 2
BPbSeCl2 | Alexandria | PBE | relaxed; symmetry = No. 123; total magnetization = 0.000 μB per atom
1.0
5.196 0.000 0.000
0.000 5.196 0.000
0.000 0.000 4.277
B Pb Se Cl
1 1 1 2
direct
0.000 0.000 0.000
0.500 0.500 0.500
0.000 0.000 0.500
0.000 0.500 0.000
0.500 0.000 0.000

***

Uncorrected formation energy across the listed records, respectively: 0.13; 0.13 eV per atom.
Theoretical density across the listed records, respectively: 11869; 5291 kg/m³.